1.
Crystalline Cs2AcAuO4 at its relaxed geometry, computed with PBE-GGA.

D(E_F): 0.000 states/eV/atom
density: 6.96 g/cm3
E_form (uncorrected): -1486 meV per atom
uncorrected energy: -5.101 eV/atom

Cell: 6.1857 6.1857 6.1857 Å, 102.06 113.30 113.30°
Fractional coordinates of all 8 atoms:
Au1 0.0000 0.5000 0.5000
Ac1 0.5000 0.2500 0.7500
O1 0.1302 0.3134 0.7153
O2 0.5981 0.2847 0.4149
O3 0.8698 0.5851 0.1832
O4 0.4019 0.8168 0.6866
Cs1 0.5000 0.7500 0.2500
Cs2 0.0000 0.0000 0.0000

=====

2.
Crystalline Tb3Ho3Pd2 at its relaxed geometry, computed with PBE-GGA.

D(E_F): 0.989 states/eV/atom
density: 8.96 g/cm3
uncorrected energy: -5.129 eV/atom
E_form: -0.378 eV per atom

Cell: 3.8332 6.6698 17.9267 Å, 90.00 90.00 106.70°
Fractional coordinates of all 16 atoms:
Tb1 0.3513 0.7026 0.7500
Pd1 0.2509 0.5017 0.3713
Ho1 0.6172 0.2344 0.7500
Ho2 0.3461 0.6923 0.5425
Ho3 0.3461 0.6923 0.9575
Pd2 0.2509 0.5017 0.1287
Tb2 0.0508 0.1016 0.6044
Ho4 0.6539 0.3077 0.4575
Tb3 0.6487 0.2974 0.2500
Pd3 0.7491 0.4983 0.6287
Tb4 0.0508 0.1016 0.8956
Tb5 0.9492 0.8984 0.3956
Ho5 0.3828 0.7656 0.2500
Pd4 0.7491 0.4983 0.8713
Ho6 0.6539 0.3077 0.0425
Tb6 0.9492 0.8984 0.1044

=====

3.
Crystalline Pm2Sm3Tm6Sc at its relaxed geometry, computed with PBE-GGA.

D(E_F): 1.249 states/eV/atom
density: 8.03 g/cm3
uncorrected energy: -4.707 eV/atom
E_form: 0.027 eV per atom

Cell: 6.1176 6.1176 11.6655 Å, 95.01 95.01 119.99°
Fractional coordinates of all 12 atoms:
Sm1 0.1666 0.8334 0.5000
Tm1 0.2483 0.2483 0.7519
Sm2 0.8334 0.1666 0.5000
Tm2 0.4129 0.0823 0.2477
Pm1 0.3338 0.6662 0.0000
Tm3 0.0823 0.4129 0.2477
Tm4 0.9177 0.5871 0.7523
Tm5 0.5871 0.9177 0.7523
Sc1 0.0000 0.0000 0.0000
Tm6 0.7517 0.7517 0.2481
Pm2 0.6662 0.3338 0.0000
Sm3 0.5000 0.5000 0.5000

=====

4.
Crystalline Sc2AlSi3Ir4 at its relaxed geometry, computed with PBE-GGA.

D(E_F): 0.680 states/eV/atom
density: 9.88 g/cm3
E_form (uncorrected): -941 meV per atom
uncorrected energy: -7.753 eV/atom

Cell: 4.0321 4.0321 10.0259 Å, 90.00 90.00 90.00°
Fractional coordinates of all 10 atoms:
Ir1 0.5000 0.0000 0.6393
Si1 0.5000 0.0000 0.8698
Si2 0.0000 0.0000 0.5000
Ir2 0.0000 0.5000 0.3607
Ir3 0.5000 0.5000 0.0000
Ir4 0.0000 0.0000 0.0000
Si3 0.0000 0.5000 0.1302
Sc1 0.0000 0.5000 0.7547
Al1 0.5000 0.5000 0.5000
Sc2 0.5000 0.0000 0.2453